VASP calculation (meta-GGA SCAN) on a crystal of Si2PtW relaxed with PBEsol.

As for the uncorrected formation energy: -3.48 kcal/mol of atoms. The energy above the lowest structure with this stoichiometry comes out at 0.45 eV/f.u. As for the total DFT energy (no corrections): -40.129 eV per atom. As for the symmetry: P4/mmm (123).

Cell: 3.091 3.091 5.797 Å, 90.00 90.00 90.00°
Positions (direct):
Pt 0.500 0.500 0.500
Si 0.000 0.000 0.763
Si 0.000 0.000 0.237
W 0.500 0.500 0.000